No. 1
Material: ZrAgMo
Method: DFT, PBE
State: relaxed

Unit cell a=4.907 b=4.907 c=2.666 alpha=90.00 beta=90.00 gamma=120.00
Positions (direct):
Ag (0.000, 0.000, 0.037)
Mo (0.667, 0.333, 0.280)
Zr (0.333, 0.667, 0.683)

Calculated values
Polymorph energy (0 for the lowest one), eV/atom: 0.3769
ΔE_f, eV/atom: 0.333

***

No. 2
Material: Pr2P3Pt6
Method: DFT, PBE
State: relaxed

Unit cell a=4.168 b=7.439 c=7.439 alpha=120.00 beta=90.00 gamma=90.00
Positions (direct):
Pr (0.000, 0.667, 0.333)
Pr (0.000, 0.333, 0.667)
P (0.500, 0.361, 0.361)
P (0.500, 0.639, 0.000)
P (0.500, 0.000, 0.639)
Pt (0.500, 0.677, 0.677)
Pt (0.500, 0.000, 0.323)
Pt (0.000, 0.211, 0.211)
Pt (0.000, 0.789, 0.000)
Pt (0.500, 0.323, 0.000)
Pt (0.000, 0.000, 0.789)

Calculated values
ΔE_f, eV/atom: -0.953

***

No. 3
Material: CuRe2S
Method: DFT, PBE
State: relaxed

Unit cell a=3.705 b=3.705 c=9.244 alpha=78.44 beta=78.44 gamma=90.00
Positions (direct):
Re (0.604, 0.125, 0.250)
Re (0.146, 0.625, 0.250)
Re (0.375, 0.396, 0.750)
Re (0.875, 0.854, 0.750)
S (0.500, 0.500, 0.000)
S (0.250, 0.750, 0.500)
Cu (0.000, 0.000, 0.000)
Cu (0.750, 0.250, 0.500)

Calculated values
Formation energy (no corrections), eV per atom: 0.750

***

No. 4
Material: Ag2H5Pd12
Method: DFT, PBE
State: relaxed

Unit cell a=5.472 b=5.402 c=9.644 alpha=101.64 beta=90.00 gamma=120.43
Positions (direct):
Ag (0.750, 0.000, 0.000)
Ag (0.250, 0.000, 0.000)
H (0.292, 0.583, 0.553)
H (0.253, 0.505, 0.012)
H (0.000, 0.000, 0.500)
H (0.747, 0.495, 0.988)
H (0.708, 0.417, 0.447)
Pd (0.069, 0.138, 0.284)
Pd (0.965, 0.429, 0.851)
Pd (0.464, 0.429, 0.851)
Pd (0.109, 0.715, 0.429)
Pd (0.606, 0.715, 0.429)
Pd (0.433, 0.866, 0.716)
Pd (0.567, 0.134, 0.284)
Pd (0.891, 0.285, 0.571)
Pd (0.394, 0.285, 0.571)
Pd (0.035, 0.571, 0.149)
Pd (0.536, 0.571, 0.149)
Pd (0.931, 0.862, 0.716)

Calculated values
Final energy, eV/atom: -4.43

***

Number 1: magnetic moment 0.00 μB per formula unit. Number 2: magnetic moment 0.00 μB per formula unit. Number 3: magnetic moment 0.00 μB per formula unit. Number 4: magnetic moment 0.00 μB per formula unit.